Record 1
NdZr5Sb6 GGA-PBE relaxed; E_form (uncorrected) = -0.6467 eV per atom
1.0
3.623 -6.313 0.000
3.623 6.313 0.000
-2.449 0.000 6.859
Nd Zr Sb
1 5 6
direct
0.000 0.000 0.000
0.152 0.848 0.500
0.329 0.671 0.000
0.500 0.500 0.500
0.671 0.329 0.000
0.848 0.152 0.500
0.089 0.437 0.264
0.269 0.269 0.755
0.437 0.089 0.264
0.563 0.911 0.736
0.731 0.731 0.245
0.911 0.563 0.736


Record 2
SbAs2W GGA-PBE relaxed; E_form (uncorrected) = 0.5341 eV per atom
1.0
1.724 -2.427 0.000
1.724 2.427 0.000
0.000 0.000 9.714
Sb As W
1 2 1
direct
0.000 0.000 0.000
0.000 0.000 0.439
0.500 0.500 0.732
0.500 0.500 0.245


Record 3
YCuPb2 GGA-PBE relaxed; formation enthalpy at 0 K = 0.073 eV/atom; E above lowest polymorph = 246 meV per atom
1.0
1.875 1.083 8.701
-1.875 1.083 8.701
0.000 -2.165 8.701
Y Cu Pb
1 1 2
direct
0.000 0.000 0.000
0.500 0.500 0.500
0.235 0.235 0.235
0.765 0.765 0.765


Record 4
Sc3Si3Ru GGA-PBE relaxed; E_form (uncorrected) = -0.8712 eV per atom; E above lowest polymorph = 13 meV per atom
1.0
5.011 -2.022 0.000
5.011 2.022 0.000
-4.489 0.000 12.102
Sc Si Ru
6 6 2
direct
0.018 0.018 0.374
0.102 0.102 0.921
0.241 0.241 0.226
0.759 0.759 0.774
0.898 0.898 0.079
0.982 0.982 0.626
0.370 0.370 0.455
0.383 0.383 0.926
0.458 0.458 0.765
0.542 0.542 0.235
0.617 0.617 0.074
0.630 0.630 0.545
0.254 0.254 0.590
0.746 0.746 0.410


Record 5
TiS4Br GGA-PBE relaxed; E_form (uncorrected) = -0.6194 eV per atom
1.0
6.420 0.000 0.000
-0.527 7.677 0.000
-2.496 -1.434 7.453
Ti S Br
2 8 2
direct
0.245 0.000 0.001
0.755 0.000 0.999
0.045 0.256 0.058
0.068 0.884 0.202
0.397 0.923 0.752
0.462 0.188 0.862
0.538 0.812 0.138
0.603 0.077 0.248
0.932 0.116 0.798
0.955 0.744 0.942
0.476 0.407 0.607
0.524 0.593 0.393


Record 6
In2CuAu GGA-PBE relaxed; formation enthalpy at 0 K = 0.033 eV/atom
1.0
1.702 0.983 8.212
-1.702 0.983 8.212
0.000 -1.965 8.212
In Cu Au
2 1 1
direct
0.246 0.246 0.246
0.754 0.754 0.754
0.500 0.500 0.500
0.000 0.000 0.000


Record 7
Tb5NdTm6 GGA-PBE relaxed; formation enthalpy at 0 K = 0.020 eV/atom; E above lowest polymorph = 0 meV per atom
1.0
3.064 -5.302 0.000
3.064 5.302 0.000
-2.035 0.000 11.481
Tb Nd Tm
5 1 6
direct
0.000 0.000 0.000
0.167 0.833 0.500
0.333 0.667 0.000
0.667 0.333 0.000
0.833 0.167 0.500
0.500 0.500 0.500
0.083 0.417 0.249
0.250 0.250 0.751
0.417 0.083 0.249
0.583 0.917 0.751
0.750 0.750 0.249
0.917 0.583 0.751


Record 8
ZnBr3O GGA-PBE relaxed; E_form (uncorrected) = -0.4080 eV per atom; E above lowest polymorph = 37 meV per atom
1.0
3.272 0.000 0.000
-1.632 6.766 0.000
-0.064 -3.238 7.024
Zn Br O
1 3 1
direct
0.000 0.000 0.000
0.018 0.049 0.710
0.188 0.364 0.286
0.329 0.651 0.132
0.427 0.852 0.015


Record 9
TaGaAuC2 GGA-PBE relaxed; formation enthalpy at 0 K = 2.102 eV/atom; E above lowest polymorph = 0 meV per atom
1.0
3.958 0.000 0.000
0.000 3.958 0.000
0.000 0.000 4.913
Ta Ga Au C
1 1 1 2
direct
0.000 0.000 0.000
0.500 0.500 0.500
0.500 0.500 0.000
0.000 0.500 0.500
0.500 0.000 0.500


Record 10
Ac2InGa4Pd3 GGA-PBE relaxed; formation enthalpy at 0 K = -0.721 eV/atom
1.0
4.470 0.000 0.000
0.000 4.470 0.000
0.000 0.000 10.884
Ac In Ga Pd
2 1 4 3
direct
0.000 0.500 0.240
0.500 0.000 0.760
0.000 0.000 0.500
0.000 0.000 0.000
0.000 0.500 0.645
0.500 0.000 0.355
0.500 0.500 0.000
0.000 0.500 0.878
0.500 0.000 0.122
0.500 0.500 0.500


Record 11
BaSr2As GGA-PBE relaxed; formation enthalpy at 0 K = -0.626 eV/atom
1.0
7.845 0.000 0.000
0.000 7.501 0.000
-7.841 0.000 13.350
Ba Sr As
4 8 4
direct
0.180 0.249 0.250
0.180 0.251 0.750
0.820 0.749 0.250
0.820 0.751 0.750
0.148 0.741 0.575
0.148 0.759 0.075
0.497 0.740 0.424
0.497 0.760 0.924
0.503 0.240 0.076
0.503 0.260 0.576
0.852 0.241 0.925
0.852 0.259 0.425
0.168 0.000 0.918
0.168 0.500 0.418
0.832 0.000 0.082
0.832 0.500 0.582


Record 12
MgTlSbTe3 GGA-PBE relaxed; E_form (uncorrected) = -0.4184 eV per atom
1.0
9.346 0.000 0.000
0.000 4.522 0.000
-2.542 0.000 10.052
Mg Tl Sb Te
2 2 2 6
direct
0.087 0.250 0.108
0.913 0.750 0.892
0.195 0.250 0.732
0.805 0.750 0.268
0.331 0.750 0.373
0.669 0.250 0.627
0.108 0.250 0.383
0.222 0.750 0.027
0.446 0.750 0.660
0.554 0.250 0.340
0.778 0.250 0.973
0.892 0.750 0.617


Record 13
ZrPaC2 GGA-PBE relaxed; formation enthalpy at 0 K = -0.613 eV/atom; E above lowest polymorph = 0 meV per atom
1.0
1.734 1.001 5.732
-1.734 1.001 5.732
0.000 -2.003 5.732
Zr Pa C
1 1 2
direct
0.000 0.000 0.000
0.500 0.500 0.500
0.253 0.253 0.253
0.747 0.747 0.747


Record 14
Nb2Tl2N GGA-PBE relaxed; E_form (uncorrected) = -0.0179 eV per atom; E above lowest polymorph = 0 meV per atom
1.0
5.875 0.000 0.000
0.000 5.875 0.000
0.000 0.000 5.472
Nb Tl N
4 4 2
direct
0.183 0.317 0.000
0.317 0.817 0.000
0.683 0.183 0.000
0.817 0.683 0.000
0.182 0.682 0.500
0.318 0.182 0.500
0.682 0.818 0.500
0.818 0.318 0.500
0.000 0.000 0.000
0.500 0.500 0.000


Record 15
Nb4SnSe2 GGA-PBE relaxed; E_form (uncorrected) = 0.9922 eV per atom
1.0
-2.503 2.503 6.680
2.503 -2.503 6.680
2.503 2.503 -6.680
Nb Sn Se
4 1 2
direct
0.000 0.500 0.500
0.207 0.207 0.000
0.500 0.000 0.500
0.793 0.793 0.000
0.000 0.000 0.000
0.391 0.391 0.000
0.609 0.609 0.000


Record 16
VPtI2 GGA-PBE relaxed; E_form (uncorrected) = 0.6133 eV per atom; E above lowest polymorph = 249 meV per atom
1.0
0.000 3.555 3.555
3.555 0.000 3.555
3.555 3.555 0.000
V Pt I
1 1 2
direct
0.000 0.000 0.000
0.500 0.500 0.500
0.250 0.250 0.250
0.750 0.750 0.750


Record 17
ScRe3 GGA-PBE relaxed; formation enthalpy at 0 K = 3.652 eV/atom; E above lowest polymorph = 3728 meV per atom
1.0
4.621 0.000 0.000
0.000 4.621 0.000
0.000 0.000 4.621
Sc Re
1 3
direct
0.000 0.000 0.000
0.000 0.000 0.500
0.000 0.500 0.000
0.500 0.000 0.000


Record 18
TmHfSnO6 GGA-PBE relaxed; E_form (uncorrected) = -2.6120 eV per atom
1.0
4.950 0.000 0.000
0.000 4.950 0.000
0.000 0.000 9.920
Tm Hf Sn O
2 2 2 12
direct
0.000 0.000 0.000
0.500 0.500 0.500
0.000 0.000 0.333
0.500 0.500 0.833
0.000 0.000 0.666
0.500 0.500 0.166
0.185 0.185 0.501
0.201 0.201 0.178
0.201 0.201 0.823
0.299 0.701 0.323
0.299 0.701 0.678
0.315 0.685 0.001
0.685 0.315 0.001
0.701 0.299 0.323
0.701 0.299 0.678
0.799 0.799 0.178
0.799 0.799 0.823
0.815 0.815 0.501


Record 19
BaTlI2 GGA-PBE relaxed; E_form (uncorrected) = -1.0213 eV per atom; E above lowest polymorph = 0 meV per atom
1.0
0.000 4.300 4.300
4.300 0.000 4.300
4.300 4.300 0.000
Ba Tl I
1 1 2
direct
0.000 0.000 0.000
0.500 0.500 0.500
0.250 0.250 0.250
0.750 0.750 0.750


Record 20
RbUTaS6 GGA-PBE relaxed; E_form (uncorrected) = -1.1227 eV per atom
1.0
6.510 0.000 0.000
-3.255 5.638 0.000
0.000 0.000 7.638
Rb U Ta S
1 1 1 6
direct
0.000 0.000 0.000
0.667 0.333 0.500
0.333 0.667 0.500
0.012 0.386 0.690
0.012 0.626 0.310
0.374 0.386 0.310
0.374 0.988 0.690
0.614 0.626 0.690
0.614 0.988 0.310


Table of E_tot (eV per atom), in record order: -6.667, -6.060, -4.421, -7.234, -4.966, -3.179, -4.542, -2.658, -5.218, -4.585, -3.110, -3.336, -9.736, -6.657, -6.329, -3.952, -7.267, -7.965, -2.869, -6.553